(1)
DFT (PBE) results for a geometry-optimized Ce6TlHg5 structure.

## Properties
* volume: 27.58 Å³ per atom
* E above lowest polymorph: 1.60 eV/f.u.
* SG: C2/m
* formation energy: -138 meV/atom

Cell: 10.8799 5.9722 5.9811 Å, 60.05 84.71 79.36°
Site moments in Bohr magnetons follow the coordinates.
Atoms (fractional coordinates):
Ce 0.7472 0.0848 0.3371  0.86
Ce 0.2528 0.5781 0.3371  0.86
Ce 0.2505 0.2553 0.0000  0.86
Ce 0.7495 0.7447 0.0000  0.86
Ce 0.7472 0.4219 0.6629  0.86
Ce 0.2528 0.9152 0.6629  0.86
Tl 0.0000 0.0000 0.0000  0.01
Hg 0.5000 0.1640 0.6720  0.02
Hg 0.0000 0.3319 0.3362  0.01
Hg 0.5000 0.5000 0.0000  0.02
Hg 0.0000 0.6681 0.6638  0.01
Hg 0.5000 0.8360 0.3280  0.02

---

(2)
DFT (PBE) results for a geometry-optimized KBaAsO4 structure.

## Properties
* volume: 17.84 Å³ per atom
* E above lowest polymorph: 0.00 eV/f.u.
* SG: Pnma
* formation energy from raw total energies: -2.075 eV/atom

Cell: 6.0035 7.9260 10.4990 Å, 90.00 90.00 90.00°
Atoms (fractional coordinates):
K 0.2500 0.8333 0.4247
K 0.2500 0.3333 0.0753
K 0.7500 0.1667 0.5753
K 0.7500 0.6667 0.9247
Ba 0.2500 0.4989 0.6985
Ba 0.2500 0.9989 0.8015
Ba 0.7500 0.5011 0.3015
Ba 0.7500 0.0011 0.1985
As 0.2500 0.2741 0.4163
As 0.2500 0.7741 0.0837
As 0.7500 0.7259 0.5837
As 0.7500 0.2259 0.9163
O 0.2500 0.1854 0.5673
O 0.2500 0.6854 0.9327
O 0.7500 0.8146 0.4327
O 0.7500 0.3146 0.0673
O 0.0133 0.2116 0.3361
O 0.4867 0.7116 0.1639
O 0.5133 0.7884 0.6639
O 0.9867 0.2884 0.8361
O 0.9867 0.7884 0.6639
O 0.5133 0.2884 0.8361
O 0.4867 0.2116 0.3361
O 0.0133 0.7116 0.1639
O 0.2500 0.4910 0.4287
O 0.2500 0.9910 0.0713
O 0.7500 0.5090 0.5713
O 0.7500 0.0090 0.9287

---

(3)
DFT (PBE) results for a geometry-optimized YPOs2 structure.

## Properties
* volume: 16.27 Å³ per atom
* SG: P4/mmm
* formation energy: 23 meV/atom

Cell: 2.9926 2.9926 7.2693 Å, 90.00 90.00 90.00°
Atoms (fractional coordinates):
Y 0.5000 0.5000 0.5000
P 0.5000 0.5000 0.0000
Os 0.0000 0.0000 0.8119
Os 0.0000 0.0000 0.1881

---

(4)
DFT (PBE) results for a geometry-optimized GdY2Zr structure.

## Properties
* volume: 29.98 Å³ per atom
* SG: P4/mmm
* formation energy: 170 meV/atom

Cell: 3.9963 3.9963 7.5083 Å, 90.00 90.00 90.00°
Site moments in Bohr magnetons follow the coordinates.
Atoms (fractional coordinates):
Y 0.0000 0.0000 0.7227  -0.09
Y 0.0000 0.0000 0.2773  -0.09
Gd 0.5000 0.5000 0.0000  7.22
Zr 0.5000 0.5000 0.5000  -0.48

---

(5)
DFT (PBE) results for a geometry-optimized BiRuI2N structure.

## Properties
* volume: 33.10 Å³ per atom
* E above lowest polymorph: 5.39 eV/f.u.
* SG: P4/mmm
* formation energy from raw total energies: 1.494 eV/atom

Cell: 6.2884 6.2884 4.1854 Å, 90.00 90.00 90.00°
Site moments in Bohr magnetons follow the coordinates.
Atoms (fractional coordinates):
I 0.0000 0.5000 0.0000  0.04
I 0.5000 0.0000 0.0000  0.04
Ru 0.5000 0.5000 0.5000  2.68
Bi 0.0000 0.0000 0.0000  -0.02
N 0.0000 0.0000 0.5000  0.12

---

(6)
DFT (PBE) results for a geometry-optimized TiIn2F structure.

## Properties
* volume: 20.02 Å³ per atom
* E above lowest polymorph: 0.00 eV/f.u.
* SG: I-42d
* formation energy from raw total energies: -0.408 eV/atom

Cell: 7.3262 7.3262 5.9782 Å, 52.21 52.21 90.00°
Site moments in Bohr magnetons follow the coordinates.
Atoms (fractional coordinates):
F 0.5000 0.5000 0.0000  0.03
F 0.2500 0.7500 0.5000  0.03
Ti 0.0000 0.0000 0.0000  0.98
Ti 0.7500 0.2500 0.5000  0.99
In 0.5794 0.1250 0.2500  0.01
In 0.1706 0.6250 0.2500  0.01
In 0.3750 0.4206 0.7500  0.01
In 0.8750 0.8294 0.7500  0.01

---

| no. | uncorrected energy (eV/atom) | N(E_F) (states/eV/cell) |
| --- | --- | --- |
| 1 | -3.428 | 28.64 |
| 2 | -6.004 | 0.00 |
| 3 | -8.561 | 4.33 |
| 4 | -8.720 | 8.31 |
| 5 | -3.422 | 5.11 |
| 6 | -4.219 | 4.98 |